RePNO2 PBE optimized geometry; SG = P4/mmm (123); formation energy (no corrections) = 0.1614 eV/atom; calculated total energy = -7.0586 eV per atom
1.0
-0.0352 -2.9844 2.1618
2.2668 -1.7221 -2.3404
3.9962 1.7980 2.5473
Re N O P
1 1 2 1
Cartesian
0.0000 0.0000 0.0000 Re
3.1138 -1.4542 1.1844 N
1.1334 -0.8611 -1.1702 O
-0.0176 -1.4922 1.0809 O
1.9981 0.8990 1.2737 P

La2Sm2Y15 PBE optimized geometry; SG = R-3m (166); DFT formation energy = 279 meV per atom; calculated total energy = -5.8397 eV per atom
1.0
6.7606 -5.6989 -0.2288
6.7606 5.6989 -0.2288
2.2537 0.0000 8.5531
La Sm Y
2 2 15
Cartesian
10.5761 0.0000 5.4276 La
5.1987 0.0000 2.6680 La
14.2788 0.0000 7.3278 Sm
1.4960 0.0000 0.7678 Sm
3.3803 -2.8495 -0.1144 Y
1.1268 0.0000 4.2766 Y
3.3803 2.8495 -0.1144 Y
3.6038 1.7072 5.9224 Y
6.7606 2.2845 -0.2288 Y
5.4104 -3.9917 2.4020 Y
6.7606 -2.2845 -0.2288 Y
3.6038 -1.7072 5.9224 Y
5.4104 3.9917 2.4020 Y
9.0446 -2.7590 2.8513 Y
6.8627 0.0000 7.1028 Y
9.0446 2.7590 2.8513 Y
6.7302 2.7590 5.2443 Y
8.9120 0.0000 0.9928 Y
6.7302 -2.7590 5.2443 Y

Ce2PuGaRu2 PBE optimized geometry; SG = Ibam (72); DFT formation energy = -364 meV per atom; calculated total energy = -8.3272 eV per atom
1.0
-1.0257 5.5040 3.0840
-4.9153 1.2564 -3.8771
-0.9297 -6.3402 4.3820
Ce Pu Ga Ru
4 2 2 4
Cartesian
-5.6637 2.6326 0.0419 Ce
-2.5953 -0.7726 0.5157 Ce
-4.2755 1.1929 3.0732 Ce
-1.2070 -2.2124 3.5470 Ce
-0.2564 1.3760 0.7710 Pu
-0.7693 4.1280 2.3130 Pu
-3.2269 4.7562 0.3745 Ga
-2.7141 2.0042 -1.1675 Ga
-4.0184 -1.8838 2.0256 Ru
-2.8524 2.3041 1.5634 Ru
-4.6377 0.1395 -1.7914 Ru
-2.2330 0.2808 5.3803 Ru

LaPu2H PBE optimized geometry; SG = P4/mmm (123); calculated total energy = -9.0322 eV per atom
1.0
-1.4393 2.7965 -0.6791
-1.5815 -1.4030 -2.4257
-6.5319 -2.0409 5.4392
H La Pu
1 1 2
Cartesian
-1.5104 0.6968 -1.5524 H
-4.7764 -0.3237 1.1672 La
-5.4179 -1.6928 4.5115 Pu
-1.1140 -0.3481 0.9276 Pu

AlAs2P PBE optimized geometry; SG = Cm (8); DFT formation energy = 225 meV per atom; polymorph energy (0 for the lowest one) = 0.303 eV per atom; calculated total energy = -4.3883 eV per atom
1.0
-0.3852 4.0859 -2.8178
0.5765 2.0999 -4.4767
-5.6041 -1.2428 -1.7609
P As Al
1 2 1
Cartesian
-2.0896 3.0204 -4.8273 P
0.0793 5.6251 -6.6882 As
-3.9489 3.5151 -6.4973 As
-1.9686 1.4398 -2.8649 Al

Er2HfSb3 PBE optimized geometry; SG = I4/mmm (139); formation energy (no corrections) = -0.8248 eV/atom; calculated total energy = -6.0659 eV per atom
1.0
-1.5441 3.9253 0.6164
-2.2099 -1.3958 3.3675
8.8693 0.6408 3.3868
Er Hf Sb
2 1 3
Cartesian
1.4863 0.3947 1.1312 Er
1.8808 2.2785 4.8705 Er
6.1177 1.6551 4.6957 Hf
4.2407 2.9199 6.6875 Sb
3.8579 1.0409 2.9556 Sb
-0.4907 1.6321 3.0462 Sb

Question: The highest calculated total energy belongs to which entry?
Answer: AlAs2P